# 1
Here is crystalline CaTa2GeAu at its relaxed geometry from the Alexandria database. Energies are from PBE.

## Properties
As for the raw total energy: -4.45 eV per atom. The spin magnetization comes out at 0.00 μB/atom. The calculation puts the energy of formation from the pure elements at 2267 meV per atom.

Cell: 4.908 4.908 4.997 Å, 90.00 90.00 90.00°
Space group P4/mmm (No. 123)
Inequivalent atoms, fractional coordinates:
Ca (0.000, 0.000, 0.000) x1
Ta (0.000, 0.500, 0.000) x2
Ge (0.500, 0.500, 0.500) x1
Au (0.000, 0.000, 0.500) x1


# 2
Here is crystalline Zn8Re at its relaxed geometry from the Alexandria database. Energies are from PBE.

## Properties
As for the raw total energy: -2.38 eV per atom. The spin magnetization comes out at 0.00 μB/atom. The calculation puts the energy of formation from the pure elements at 136 meV per atom.

Cell: 8.464 8.464 3.656 Å, 90.00 90.00 90.00°
Space group I4/mmm (No. 139)
Inequivalent atoms, fractional coordinates:
Zn (0.000, 0.331, 0.000) x8
Zn (0.167, 0.167, 0.500) x8
Re (0.000, 0.000, 0.000) x2


# 3
Here is crystalline Tm4AlTl2 at its relaxed geometry from the Alexandria database. Energies are from PBE.

## Properties
As for the raw total energy: -3.93 eV per atom. The spin magnetization comes out at 0.00 μB/atom. The calculation puts the energy of formation from the pure elements at -166 meV per atom.

Cell: 5.1532 5.1532 25.2898 Å, 90.00 90.00 120.00°
Space group R-3m (No. 166, hexagonal axes)
Inequivalent atoms, fractional coordinates:
Tm (0.0000, 0.0000, 0.1237) x6
Tm (0.0000, 0.0000, 0.3756) x6
Al (0.0000, 0.0000, 0.0000) x3
Tl (0.0000, 0.0000, 0.2455) x6


# 4
Here is crystalline Nd2Pu3UAs6 at its relaxed geometry from the Alexandria database. Energies are from PBE.

## Properties
As for the raw total energy: -8.78 eV per atom. The spin magnetization comes out at 1.47 μB/atom. The calculation puts the energy of formation from the pure elements at -1137 meV per atom.

Cell: 18.143 4.172 8.356 Å, 90.00 102.75 90.00°
Space group C2/m (No. 12)
Inequivalent atoms, fractional coordinates:
Nd (0.167, 0.000, 0.336) x4
Pu (0.000, 0.500, 0.500) x2
Pu (0.168, 0.000, 0.836) x4
U (0.000, 0.500, 0.000) x2
As (0.002, 0.000, 0.756) x4
As (0.164, 0.500, 0.076) x4
As (0.164, 0.500, 0.592) x4


# 5
Here is crystalline Cu2AgSbS4 at its relaxed geometry from the Alexandria database. Energies are from PBE.

## Properties
As for the raw total energy: -4.14 eV per atom. The spin magnetization comes out at 0.00 μB/atom. As for the formation energy (no corrections): -142 kJ/mol of formula units.

Cell: 5.618 5.618 10.854 Å, 90.00 90.00 90.00°
Space group I-42m (No. 121)
Inequivalent atoms, fractional coordinates:
Cu (0.000, 0.500, 0.250) x4
Ag (0.000, 0.000, 0.000) x2
Sb (0.000, 0.000, 0.500) x2
S (0.242, 0.242, 0.360) x8


# 6
Here is crystalline Ti4TlIn at its relaxed geometry from the Alexandria database. Energies are from PBE.

## Properties
As for the raw total energy: -6.17 eV per atom. The spin magnetization comes out at 0.00 μB/atom. The calculation puts the energy of formation from the pure elements at -60 meV per atom.

Cell: 10.501 3.253 6.979 Å, 90.00 109.40 90.00°
Space group C2/m (No. 12)
Inequivalent atoms, fractional coordinates:
Ti (0.175, 0.000, 0.336) x4
Ti (0.175, 0.000, 0.838) x4
Tl (0.000, 0.500, 0.500) x2
In (0.000, 0.500, 0.000) x2